(1)
NaMg2HgH: relaxed, GGA-PBE.

a b c (Å): 4.4057 4.4057 4.6698
angles (deg): 90.00 90.00 90.00
Last column: nearest neighbours and their distance in Å.
Positions (direct):
Na 0.0000 0.0000 0.0000  2 H 2.33
Mg 0.0000 0.5000 0.5000  2 H 2.20
Mg 0.5000 0.0000 0.5000  2 H 2.20
Hg 0.5000 0.5000 0.0000  4 Na 3.12, 8 Mg 3.21
H 0.0000 0.0000 0.5000  4 Mg 2.20, 2 Na 2.33

total magnetization = 0.0 μB/f.u.
energy above the most stable polymorph in this dataset = 0.000 eV/atom

***

(2)
Ca2YP: relaxed, GGA-PBE.

a b c (Å): 3.5619 3.5619 9.2835
angles (deg): 90.00 90.00 90.37
Last column: nearest neighbours and their distance in Å.
Positions (direct):
Ca 0.0000 0.0000 0.1714  4 P 2.97-2.99, 1 Ca 3.18
Ca 0.0000 0.0000 0.8286  4 P 2.97-2.99, 1 Ca 3.18
Y 0.5000 0.5000 0.5000  4 Y 3.56, 8 Ca 3.95-3.96
P 0.5000 0.5000 0.0000  8 Ca 2.97-2.99

DFT total energy = -4.3756 eV per atom
total magnetization = 0.2 μB/f.u.

***

(3)
Sr4HgN2: relaxed, GGA-PBE.

a b c (Å): 6.8892 6.8892 14.0845
angles (deg): 90.00 90.00 146.26
Last column: nearest neighbours and their distance in Å.
Positions (direct):
Sr 0.0000 0.0000 0.0000  4 N 2.86
Sr 0.0000 0.0000 0.5000  4 N 2.86
Sr 0.2569 0.7431 0.5952  3 N 2.57-2.65
Sr 0.2569 0.7431 0.9048  3 N 2.57-2.65
Sr 0.4162 0.5838 0.2500  2 N 2.69
Sr 0.5838 0.4162 0.7500  2 N 2.69
Sr 0.7431 0.2569 0.0952  3 N 2.57-2.65
Sr 0.7431 0.2569 0.4048  3 N 2.57-2.65
Hg 0.1177 0.8823 0.2500  6 Sr 3.33-3.39
Hg 0.8823 0.1177 0.7500  6 Sr 3.33-3.39
N 0.3619 0.6381 0.0656  6 Sr 2.57-2.86
N 0.3619 0.6381 0.4344  6 Sr 2.57-2.86
N 0.6381 0.3619 0.5656  6 Sr 2.57-2.86
N 0.6381 0.3619 0.9344  6 Sr 2.57-2.86

total magnetization = 0.0 μB/f.u.
formation energy without anion corrections = -0.434 eV per atom

***

(4)
CrSi2Ir: relaxed, GGA-PBE.

a b c (Å): 7.9428 7.9428 7.9428
angles (deg): 20.51 20.51 20.51
Last column: nearest neighbours and their distance in Å.
Positions (direct):
Cr 0.0000 0.0000 0.0000  3 Si 2.43, 3 Ir 2.70
Si 0.2563 0.2563 0.2563  3 Cr 2.43, 3 Si 2.58
Si 0.5041 0.5041 0.5041  3 Ir 2.46, 3 Si 2.58
Ir 0.7587 0.7587 0.7587  3 Si 2.46, 3 Cr 2.70

total magnetization = 1.3 μB/f.u.
formation energy without anion corrections = -0.054 eV per atom